Pu2NCl2 | Alexandria via LeMat-Bulk | PBE | optimized geometry; spin magnetization = 11.000 μB/cell; DOS at the Fermi energy = 3.373 states/eV/atom; E_tot = -9.656 eV/atom
1.0
-3.358 1.184 0.599
-2.503 -2.252 1.304
0.650 2.236 10.109
Cl Pu N
2 2 1
Cartesian
-5.024 -0.235 4.946 Cl
-0.186 1.404 7.065 Cl
-1.654 1.531 9.466 Pu
-3.556 -0.362 2.546 Pu
0.000 0.000 0.000 N

KBeP2 | Alexandria via LeMat-Bulk | PBE | optimized geometry; E_form = 0.83 eV/atom; spin magnetization = 0.000 μB/cell; DOS at the Fermi energy = 0.839 states/eV/atom; E_tot = -3.077 eV/atom
1.0
-2.414 -0.471 -0.167
0.600 -0.300 -7.851
1.108 -4.233 -4.083
Be K P
1 1 2
Cartesian
-0.353 -2.502 -6.050 Be
0.554 -2.116 -2.042 K
0.000 0.000 0.000 P
-0.907 -0.386 -4.009 P

CeAl5Ni3 | Alexandria via LeMat-Bulk | PBE | optimized geometry; E_form = -0.50 eV/atom; spin magnetization = 1.513 μB/cell; DOS at the Fermi energy = 0.980 states/eV/atom; E_tot = -5.165 eV/atom
1.0
-3.812 -0.123 -0.986
3.451 -1.314 -5.307
-0.322 -11.877 2.731
Al Ni Ce
10 6 2
Cartesian
-1.129 -6.055 -2.747 Al
-1.940 -7.920 0.620 Al
1.322 -2.983 -4.737 Al
1.257 -5.394 -4.182 Al
0.326 -11.674 0.200 Al
-2.005 -10.331 1.174 Al
-1.009 -1.640 -3.762 Al
-0.161 -5.939 1.365 Al
0.000 0.000 0.000 Al
0.446 -7.259 -0.815 Al
0.904 -12.488 -1.931 Ni
0.146 -9.253 0.592 Ni
-0.829 -4.061 -4.155 Ni
-1.722 -5.827 -0.482 Ni
-1.587 -0.826 -1.632 Ni
1.039 -7.487 -3.081 Ni
-1.120 -9.884 -2.302 Ce
0.437 -3.430 -1.261 Ce

PaCdAu4 | Alexandria via LeMat-Bulk | PBE | optimized geometry; energy above the most stable polymorph in this dataset = 0.201 eV per atom; E_form = -0.06 eV/atom; spin magnetization = 0.000 μB/cell; DOS at the Fermi energy = 0.865 states/eV/atom; E_tot = -3.980 eV/atom
1.0
-2.530 1.713 3.254
1.270 -3.307 2.724
5.668 4.045 2.288
Pa Au Cd
1 4 1
Cartesian
5.020 3.254 5.269 Pa
1.465 -1.388 4.938 Au
2.100 -0.596 1.954 Au
4.178 0.542 6.033 Au
4.804 1.339 3.046 Au
4.089 -1.283 3.862 Cd

KCaMg4 | Alexandria via LeMat-Bulk | PBE | optimized geometry; E_form = 0.05 eV/atom; spin magnetization = 0.000 μB/cell; DOS at the Fermi energy = 0.967 states/eV/atom; E_tot = -1.531 eV/atom
1.0
6.388 0.000 0.000
3.194 5.532 0.000
3.194 1.844 5.215
K Mg Ca
1 4 1
Cartesian
0.000 0.000 0.000 K
6.388 3.688 0.665 Mg
7.974 4.604 3.255 Mg
4.801 4.604 3.255 Mg
6.388 1.856 3.255 Mg
3.194 1.844 1.304 Ca

Li2IrRh | Alexandria via LeMat-Bulk | PBE | optimized geometry; energy above the most stable polymorph in this dataset = 0.006 eV per atom; E_form = -0.21 eV/atom; spin magnetization = 0.000 μB/cell; DOS at the Fermi energy = 0.817 states/eV/atom; E_tot = -5.220 eV/atom
1.0
4.623 0.003 -0.023
3.869 2.530 -0.023
0.736 0.219 4.612
Ir Rh Li
1 1 2
Cartesian
6.920 2.064 3.425 Ir
2.307 0.688 1.142 Rh
9.222 2.751 4.564 Li
4.619 1.378 2.285 Li

NbV2Fe2 | Alexandria via LeMat-Bulk | PBE | optimized geometry; energy above the most stable polymorph in this dataset = 0.000 eV per atom; E_form = 0.02 eV/atom; spin magnetization = 0.000 μB/cell; DOS at the Fermi energy = 1.066 states/eV/atom; E_tot = -9.022 eV/atom
1.0
6.956 0.000 0.000
0.000 6.956 0.000
0.000 0.000 2.715
V Fe Nb
4 4 2
Cartesian
4.526 1.048 0.000 V
2.430 5.908 0.000 V
1.048 2.430 0.000 V
5.908 4.526 0.000 V
5.945 2.466 1.358 Fe
1.012 4.490 1.358 Fe
2.466 1.012 1.358 Fe
4.490 5.945 1.358 Fe
3.478 3.478 0.000 Nb
0.000 0.000 0.000 Nb

- Which of these has the highest E_tot?
  KCaMg4

- Look up the DOS at the Fermi energy of the seventh one.
  1.066 states/eV/atom

- Among the records above, which one has the highest spin magnetization?
  Pu2NCl2